# KCdAg | Alexandria | PBEsol | optimized geometry
# - total energy (eV/atom) = -1.604
# - crystal system = cubic
# - DFT formation energy (kJ per mole of atoms) = 27
data_KCdAg
_space_group_name_H-M_alt 'F -4 3 m'
_space_group_IT_number 216
_space_group_name_Hall 'F -4 2 3'
_cell_length_a 7.183
_cell_length_b 7.183
_cell_length_c 7.183
_cell_angle_alpha 90.00
_cell_angle_beta 90.00
_cell_angle_gamma 90.00
loop_
_atom_site_label
_atom_site_type_symbol
_atom_site_fract_x
_atom_site_fract_y
_atom_site_fract_z
_atom_site_occupancy
K1 K 0.000 0.000 0.000 1
Cd1 Cd 0.250 0.250 0.250 1
Ag1 Ag 0.000 0.000 0.500 1